# 1
Computed, not measured: a relaxed structure of In2WCl at the PBE level of DFT.

## Properties
The calculation puts the distance to the lowest polymorph of the same formula at 96 meV per atom.

```
In2WCl
1.0
-1.4687 2.6153 5.7763
1.4687 -2.6153 5.7763
1.4687 2.6153 -5.7763
In W Cl
2 1 1
Cartesian
0.0000 0.0000 0.0000
0.0000 2.6153 2.4200
1.4687 0.0000 2.5027
0.0000 0.0000 4.4679
```

=====

# 2
Computed, not measured: a relaxed structure of In2WCl at the PBE level of DFT.

## Properties
The calculation puts the distance to the lowest polymorph of the same formula at 155 meV per atom.

```
In2WCl
1.0
3.0530 0.0000 0.0000
0.0000 3.3122 0.0000
0.0000 0.0000 8.2803
In W Cl
2 1 1
Cartesian
0.0000 0.0000 1.8416
0.0000 0.0000 6.4387
1.5265 1.6561 0.0000
1.5265 1.6561 4.1402
```

=====

# 3
Computed, not measured: a relaxed structure of In2WCl at the PBE level of DFT.

## Properties
The calculation puts the distance to the lowest polymorph of the same formula at 719 meV per atom.

```
In2WCl
1.0
-3.9791 3.9791 2.9938
3.9791 -3.9791 2.9938
3.9791 3.9791 -2.9938
In W Cl
4 2 2
Cartesian
5.9687 1.8041 -0.7485
1.8041 1.9896 0.7485
-1.9896 2.1750 2.2454
2.1750 1.9896 3.7423
0.0000 0.0000 0.0000
0.0000 3.9791 1.4969
3.9791 0.0000 1.4969
0.0000 0.0000 2.9938
```

=====

# 4
Computed, not measured: a relaxed structure of InWCl at the PBE level of DFT.

## Properties
The calculation puts the distance to the lowest polymorph of the same formula at 0 meV per atom.

```
InWCl
1.0
3.0267 0.0000 0.0000
-1.5134 2.6212 0.0000
0.0000 0.0000 8.0960
In W Cl
1 1 1
Cartesian
0.0000 0.0000 0.0000
1.5134 0.8737 2.5247
0.0000 1.7475 4.2852
```

=====

# 5
Computed, not measured: a relaxed structure of InWCl at the PBE level of DFT.

## Properties
The calculation puts the distance to the lowest polymorph of the same formula at 221 meV per atom.

```
InWCl
1.0
-1.4642 1.4642 7.5660
1.4642 -1.4642 7.5660
1.4642 1.4642 -7.5660
In W Cl
1 1 1
Cartesian
0.0000 0.0000 0.0000
0.0000 0.0000 5.2657
0.0000 0.0000 11.2706
```

=====

# 6
Computed, not measured: a relaxed structure of In2WCl at the PBE level of DFT.

## Properties
The calculation puts the distance to the lowest polymorph of the same formula at 237 meV per atom.

```
In2WCl
1.0
2.9494 0.0000 0.0000
0.0000 5.2293 0.0000
0.0000 0.0000 5.7653
In W Cl
2 1 1
Cartesian
0.0000 0.0000 0.0000
1.4747 2.6147 2.8827
0.0000 0.0000 2.8827
1.4747 2.6147 0.0000
```

=====

# 7
Computed, not measured: a relaxed structure of In2WCl at the PBE level of DFT.

## Properties
The calculation puts the distance to the lowest polymorph of the same formula at 352 meV per atom.

```
In2WCl
1.0
-1.4570 2.2659 6.9082
1.4570 -2.2659 6.9082
1.4570 2.2659 -6.9082
In W Cl
2 1 1
Cartesian
0.0000 0.0000 2.5813
0.0000 0.0000 11.2351
1.4570 0.0000 0.0000
0.0000 2.2659 0.0000
```

=====

# 8
Computed, not measured: a relaxed structure of In3WCl at the PBE level of DFT.

## Properties
The calculation puts the distance to the lowest polymorph of the same formula at 841 meV per atom.

```
In3WCl
1.0
5.1291 0.0000 0.0000
0.0000 5.1291 0.0000
0.0000 0.0000 5.1291
In W Cl
3 1 1
Cartesian
0.0000 0.0000 2.5646
0.0000 2.5646 0.0000
2.5646 0.0000 0.0000
2.5646 2.5646 2.5646
0.0000 0.0000 0.0000
```

=====

| no. | formation energy from raw total energies (eV/atom) |
| --- | --- |
| 1 | 0.298 |
| 2 | 0.356 |
| 3 | 0.920 |
| 4 | 0.273 |
| 5 | 0.494 |
| 6 | 0.438 |
| 7 | 0.553 |
| 8 | 1.395 |